Computed, not measured: a geometry-optimized TlIr structure at the PBE level of DFT.

DFT total energy, eV per atom: -4.87
DOS(E_F), states/eV/f.u.: 3.08
Formation enthalpy at 0 K, meV per atom: 746
Mass density, Mg/m³: 17.46

```
data_TlIr
_cell_length_a 3.986
_cell_length_b 3.986
_cell_length_c 9.496
_cell_angle_alpha 90.00
_cell_angle_beta 90.00
_cell_angle_gamma 90.00
_space_group_name_H-M_alt 'I 41/a m d'
_space_group_IT_number 141
loop_
_space_group_symop_operation_xyz
'x,y,z'
'-x,-y,-z'
'-y+1/4,x+3/4,z+1/4'
'y+1/4,-x+3/4,-z+1/4'
'-x+1/2,-y,z+1/2'
'x+1/2,y,-z+1/2'
'y+1/4,-x+1/4,z+3/4'
'-y+1/4,x+1/4,-z+3/4'
'x,-y,-z'
'-x,y,z'
'-y+1/4,-x+1/4,-z+3/4'
'y+1/4,x+1/4,z+3/4'
'-x+1/2,y,-z+1/2'
'x+1/2,-y,z+1/2'
'y+1/4,x+3/4,-z+1/4'
'-y+1/4,-x+3/4,z+1/4'
'x+1/2,y+1/2,z+1/2'
'-x+1/2,-y+1/2,-z+1/2'
'-y+3/4,x+1/4,z+3/4'
'y+3/4,-x+1/4,-z+3/4'
'-x,-y+1/2,z'
'x,y+1/2,-z'
'y+3/4,-x+3/4,z+1/4'
'-y+3/4,x+3/4,-z+1/4'
'x+1/2,-y+1/2,-z+1/2'
'-x+1/2,y+1/2,z+1/2'
'-y+3/4,-x+3/4,-z+1/4'
'y+3/4,x+3/4,z+1/4'
'-x,y+1/2,-z'
'x,-y+1/2,z'
'y+3/4,x+1/4,-z+3/4'
'-y+3/4,-x+1/4,z+3/4'
loop_
_atom_site_label
_atom_site_type_symbol
_atom_site_fract_x
_atom_site_fract_y
_atom_site_fract_z
Tl1 Tl 0.000 0.250 0.375
Ir1 Ir 0.000 0.250 0.875
```